(1)
## ScTcNO (PBE-GGA)

Data for a relaxed structure of ScTcNO.

a b c (Å): 3.164 6.017 5.304
angles (deg): 90.00 90.00 90.00
Space group Pmc2_1 (No. 26)
Unique sites:
Sc: 0.000 0.176 0.000 (multiplicity 2)
Tc: 0.500 0.403 0.433 (multiplicity 2)
N: 0.500 0.302 0.792 (multiplicity 2)
O: 0.000 0.149 0.380 (multiplicity 2)

Summary:
relative energy among the computed polymorphs	416	meV per atom
uncorrected energy	-8.73	eV/atom

=====

(2)
## ScTcNO (PBE-GGA)

Data for a relaxed structure of ScTcNO.

a b c (Å): 5.822 7.384 4.530
angles (deg): 90.00 90.00 90.00
Space group Pca2_1 (No. 29)
Unique sites:
Sc: 0.067 0.140 0.000 (multiplicity 4)
Tc: 0.147 0.666 0.995 (multiplicity 4)
N: 0.069 0.134 0.504 (multiplicity 4)
O: 0.008 0.417 0.078 (multiplicity 4)

Summary:
relative energy among the computed polymorphs	451	meV per atom
uncorrected energy	-8.69	eV/atom

=====

(3)
## ScTcNO (PBE-GGA)

Data for a relaxed structure of ScTcNO.

a b c (Å): 3.690 3.690 7.168
angles (deg): 90.00 90.00 90.00
Space group P4/nmm (No. 129, origin choice 2)
Unique sites:
Sc: 0.250 0.250 0.134 (multiplicity 2)
Tc: 0.250 0.750 0.500 (multiplicity 2)
N: 0.250 0.250 0.640 (multiplicity 2)
O: 0.250 0.750 0.000 (multiplicity 2)

Summary:
relative energy among the computed polymorphs	245	meV per atom
uncorrected energy	-8.90	eV/atom

=====

(4)
## ScTcNO (PBE-GGA)

Data for a relaxed structure of ScTcNO.

a b c (Å): 4.494 4.494 4.234
angles (deg): 90.00 90.00 90.00
Space group P4/nmm (No. 129, origin choice 2)
Unique sites:
Sc: 0.250 0.750 0.000 (multiplicity 2)
Tc: 0.250 0.250 0.497 (multiplicity 2)
N: 0.250 0.250 0.996 (multiplicity 2)
O: 0.250 0.750 0.500 (multiplicity 2)

Summary:
relative energy among the computed polymorphs	529	meV per atom
uncorrected energy	-8.61	eV/atom

=====

(5)
## ScTcNO (PBE-GGA)

Data for a relaxed structure of ScTcNO.

a b c (Å): 5.327 7.459 4.993
angles (deg): 90.00 90.00 90.00
Space group Pca2_1 (No. 29)
Unique sites:
Sc: 0.022 0.131 0.000 (multiplicity 4)
Tc: 0.125 0.481 0.661 (multiplicity 4)
N: 0.093 0.334 0.332 (multiplicity 4)
O: 0.249 0.978 0.743 (multiplicity 4)

Summary:
relative energy among the computed polymorphs	0	meV per atom
uncorrected energy	-9.14	eV/atom

=====

(6)
## ScZnNO (PBE-GGA)

Data for a relaxed structure of ScZnNO.

a b c (Å): 3.503 5.713 5.122
angles (deg): 90.00 90.00 90.00
Space group Pmc2_1 (No. 26)
Unique sites:
Sc: 0.000 0.182 0.000 (multiplicity 2)
Zn: 0.500 0.308 0.493 (multiplicity 2)
N: 0.000 0.168 0.408 (multiplicity 2)
O: 0.500 0.340 0.904 (multiplicity 2)

Summary:
relative energy among the computed polymorphs	0	meV per atom
uncorrected energy	-6.87	eV/atom

=====

(7)
## ScZnNO (PBE-GGA)

Data for a relaxed structure of ScZnNO.

a b c (Å): 5.806 6.913 5.496
angles (deg): 90.00 90.00 90.00
Space group Pca2_1 (No. 29)
Unique sites:
Sc: 0.069 0.133 0.000 (multiplicity 4)
Zn: 0.121 0.577 0.970 (multiplicity 4)
N: 0.075 0.625 0.621 (multiplicity 4)
O: 0.105 0.097 0.632 (multiplicity 4)

Summary:
relative energy among the computed polymorphs	49	meV per atom
uncorrected energy	-6.82	eV/atom

=====

(8)
## ScZnNO (PBE-GGA)

Data for a relaxed structure of ScZnNO.

a b c (Å): 3.534 3.534 7.435
angles (deg): 90.00 90.00 90.00
Space group P4/nmm (No. 129, origin choice 2)
Unique sites:
Sc: 0.250 0.250 0.141 (multiplicity 2)
Zn: 0.250 0.750 0.500 (multiplicity 2)
N: 0.250 0.250 0.660 (multiplicity 2)
O: 0.250 0.750 0.000 (multiplicity 2)

Summary:
relative energy among the computed polymorphs	276	meV per atom
uncorrected energy	-6.60	eV/atom

=====

| no. | total magnetization (μB/f.u.) |
| --- | --- |
| 1 | 0.640 |
| 2 | 0.005 |
| 3 | 0.006 |
| 4 | 0.124 |
| 5 | 0.001 |
| 6 | 0.000 |
| 7 | 0.000 |
| 8 | 0.000 |